# 1
# PBE La4TbAg, optimized geometry
data_La4TbAg
_space_group_name_H-M_alt 'C m c 21'
_space_group_IT_number 36
_space_group_name_Hall 'C 2c -2'
_cell_length_a 5.678
_cell_length_b 21.057
_cell_length_c 6.559
_cell_angle_alpha 90.00
_cell_angle_beta 90.00
_cell_angle_gamma 90.00
loop_
_atom_site_label
_atom_site_fract_x
_atom_site_fract_y
_atom_site_fract_z
_atom_site_occupancy
La1 0.000 0.038 0.000 1
La2 0.000 0.184 0.827 1
La3 0.000 0.254 0.238 1
La4 0.000 0.439 0.172 1
Tb1 0.000 0.367 0.685 1
Ag1 0.000 0.111 0.418 1
# **DFT total energy**: -4.52 eV per atom
# **ΔE_f**: 0.009 eV/atom
# **Total moment**: 0.0 μB per cell
# **ΔE to the lowest computed polymorph**: 0.46 eV/f.u.

# 2
# PBE Ba3NaPb6, optimized geometry
data_Ba3NaPb6
_space_group_name_H-M_alt 'R -3 c'
_space_group_IT_number 167
_space_group_name_Hall '-R 3 2"c'
_cell_length_a 13.9103
_cell_length_b 13.9103
_cell_length_c 13.3967
_cell_angle_alpha 90.00
_cell_angle_beta 90.00
_cell_angle_gamma 120.00
loop_
_atom_site_label
_atom_site_fract_x
_atom_site_fract_y
_atom_site_fract_z
_atom_site_occupancy
Ba1 0.0000 0.4451 0.2500 1
Na1 0.0000 0.0000 0.0000 1
Pb1 0.0844 0.2009 0.3333 1
# **DFT total energy**: -3.31 eV per atom
# **ΔE_f**: -0.373 eV/atom
# **Total moment**: 0.0 μB per cell